(1)
Here is a relaxed CoBi2O6 crystal from Alexandria. Energies are from GGA-PBEsol.

Unit cell a=4.834 b=4.834 c=9.696 alpha=90.00 beta=90.00 gamma=90.00
Atoms (fractional coordinates):
Co1 0.000 0.000 0.000
Co2 0.500 0.500 0.500
Bi1 0.000 0.000 0.334
Bi2 0.000 0.000 0.666
Bi3 0.500 0.500 0.166
Bi4 0.500 0.500 0.834
O1 0.180 0.180 0.147
O2 0.180 0.180 0.853
O3 0.224 0.224 0.500
O4 0.276 0.724 0.000
O5 0.320 0.680 0.353
O6 0.320 0.680 0.647
O7 0.680 0.320 0.353
O8 0.680 0.320 0.647
O9 0.724 0.276 0.000
O10 0.776 0.776 0.500
O11 0.820 0.820 0.147
O12 0.820 0.820 0.853

Values from the calculation:
**Formation energy (no corrections)**: -0.908 eV/atom

***

(2)
Here is a relaxed CoBiPO2 crystal from Alexandria. Energies are from GGA-PBEsol.

Unit cell a=4.041 b=4.041 c=5.512 alpha=90.00 beta=90.00 gamma=90.00
Atoms (fractional coordinates):
Co1 0.000 0.000 0.000
Bi1 0.500 0.500 0.500
P1 0.500 0.500 0.000
O1 0.000 0.500 0.500
O2 0.500 0.000 0.500

Values from the calculation:
**Formation energy (no corrections)**: 0.560 eV/atom

***

(3)
Here is a relaxed CoBi6S2O16 crystal from Alexandria. Energies are from GGA-PBEsol.

Unit cell a=8.025 b=8.025 c=11.066 alpha=127.58 beta=127.58 gamma=40.60
Atoms (fractional coordinates):
Co1 0.000 0.000 0.000
Bi1 0.030 0.936 0.309
Bi2 0.064 0.970 0.691
Bi3 0.311 0.365 0.006
Bi4 0.389 0.297 0.352
Bi5 0.635 0.689 0.994
Bi6 0.703 0.611 0.648
S1 0.441 0.249 0.703
S2 0.751 0.559 0.297
O1 0.029 0.798 0.054
O2 0.130 0.530 0.183
O3 0.202 0.971 0.946
O4 0.239 0.465 0.793
O5 0.300 0.700 0.500
O6 0.353 0.100 0.550
O7 0.470 0.870 0.817
O8 0.499 0.367 0.682
O9 0.535 0.761 0.207
O10 0.626 0.034 0.178
O11 0.633 0.501 0.318
O12 0.696 0.053 0.799
O13 0.788 0.212 0.500
O14 0.900 0.647 0.450
O15 0.947 0.304 0.201
O16 0.966 0.374 0.822

Values from the calculation:
**Formation energy (no corrections)**: -1.321 eV/atom

***

(4)
Here is a relaxed CoBi6S2O16 crystal from Alexandria. Energies are from GGA-PBEsol.

Unit cell a=8.024 b=8.024 c=11.066 alpha=127.58 beta=127.58 gamma=40.61
Atoms (fractional coordinates):
Co1 0.000 0.000 0.000
Bi1 0.030 0.936 0.309
Bi2 0.064 0.970 0.691
Bi3 0.311 0.365 0.006
Bi4 0.389 0.297 0.353
Bi5 0.635 0.689 0.994
Bi6 0.703 0.611 0.647
S1 0.442 0.248 0.703
S2 0.752 0.558 0.297
O1 0.029 0.798 0.054
O2 0.130 0.530 0.183
O3 0.202 0.971 0.946
O4 0.240 0.465 0.793
O5 0.300 0.700 0.500
O6 0.353 0.100 0.550
O7 0.470 0.870 0.817
O8 0.499 0.367 0.682
O9 0.535 0.760 0.207
O10 0.626 0.034 0.178
O11 0.633 0.501 0.318
O12 0.697 0.053 0.799
O13 0.788 0.212 0.500
O14 0.900 0.647 0.450
O15 0.947 0.303 0.201
O16 0.966 0.374 0.822

Values from the calculation:
**Formation energy (no corrections)**: -1.321 eV/atom

***

(5)
Here is a relaxed RbCo2BiPb crystal from Alexandria. Energies are from GGA-PBEsol.

Unit cell a=4.735 b=4.735 c=6.153 alpha=90.00 beta=90.00 gamma=90.00
Atoms (fractional coordinates):
Rb1 0.000 0.000 0.000
Co1 0.000 0.500 0.000
Co2 0.500 0.000 0.000
Bi1 0.000 0.000 0.500
Pb1 0.500 0.500 0.500

Values from the calculation:
**E_tot**: -14.60 eV for the cell shown

***

(6)
Here is a relaxed CoBiPbW2 crystal from Alexandria. Energies are from GGA-PBEsol.

Unit cell a=5.031 b=5.031 c=5.685 alpha=90.00 beta=90.00 gamma=90.00
Atoms (fractional coordinates):
Co1 0.000 0.000 0.000
Bi1 0.500 0.500 0.500
Pb1 0.500 0.500 0.000
W1 0.000 0.500 0.500
W2 0.500 0.000 0.500

Values from the calculation:
**E_tot**: -27.78 eV for the cell shown